Record 1
6
Lattice="5.855 0.000 0.000 1.267 5.873 0.000 2.596 0.027 5.615" Properties=species:S:1:pos:R:3 comment="SeClF | Alexandria via LeMat-Bulk | PBE-GGA | relaxed" dos_at_fermi_per_ev_cell=0.00 total_energy_ev_per_atom=-3.198 pbc="T T T"
Se 0.000 0.000 0.000
Se 3.446 4.404 3.814
Cl 4.718 2.695 4.178
Cl 5.600 5.494 1.558
F 2.461 4.742 0.863
F 7.116 0.846 4.482

Record 2
3
Lattice="4.444 0.000 0.000 -2.166 3.958 0.000 -0.969 -0.668 4.920" Properties=species:S:1:pos:R:3 comment="SeClF | Alexandria via LeMat-Bulk | PBE-GGA | relaxed" total_energy_ev_per_atom=-3.036 pbc="T T T"
Se 0.000 0.000 0.000
Cl 0.153 0.147 2.171
F 2.206 1.729 4.716

Record 3
8
Lattice="4.824 0.000 0.000 1.441 5.657 0.000 0.690 2.807 6.249" Properties=species:S:1:pos:R:3 comment="SeClF2 | Alexandria via LeMat-Bulk | PBE-GGA | relaxed" dos_at_fermi_per_ev_cell=0.00 total_energy_ev_per_atom=-3.380 pbc="T T T"
Se 0.000 0.000 0.000
Se 2.073 4.075 4.353
Cl 1.999 2.676 2.743
Cl 5.331 5.397 3.661
F 2.790 6.896 5.461
F 3.026 5.824 0.951
F 4.068 2.832 4.912
F 4.455 1.782 0.429

Record 4
4
Lattice="0.000 3.209 3.209 3.209 0.000 3.209 3.209 3.209 0.000" Properties=species:S:1:pos:R:3 comment="SeCl2F | Alexandria via LeMat-Bulk | PBE-GGA | relaxed" dos_at_fermi_per_ev_cell=1.74 total_energy_ev_per_atom=-2.078 pbc="T T T"
Se 0.000 0.000 0.000
Cl 1.605 1.605 1.605
Cl 4.814 4.814 4.814
F 3.209 3.209 3.209

In eV/f.u., the formation energy without anion corrections values for the records above are, in order, -2.39 -1.91 -4.44 0.74.